No. 1
Entry from Alexandria: a relaxed Cs2NbC2 crystal (PBE).

M_tot   5.00 μB/f.u.
Calculated volume   153 Å³/cell
Electronic total energy   -22.45 eV/cell
Space group   I4/mmm (139)

Structure (POSCAR):
```
Cs2NbC2
1.0
-3.289 4.157 0.162
-2.443 -1.762 -4.365
-6.317 -1.653 0.981
Nb Cs C
1 2 2
direct
0.000 0.000 0.000
0.750 0.250 0.500
0.250 0.750 0.500
0.559 0.559 0.882
0.441 0.441 0.118
```

No. 2
Entry from Alexandria: a relaxed CsNb2C crystal (PBE).

M_tot   0.00 μB/f.u.
Calculated volume   217 Å³/cell
Electronic total energy   -51.52 eV/cell
Space group   I4_1/amd (141)

Structure (POSCAR):
```
CsNb2C
1.0
6.737 0.000 0.000
0.000 6.737 0.000
3.368 3.368 4.771
Cs Nb C
2 4 2
direct
0.750 0.250 0.500
0.000 0.000 0.000
0.375 0.125 0.250
0.375 0.625 0.250
0.875 0.625 0.750
0.375 0.625 0.750
0.250 0.750 0.500
0.500 0.500 0.000
```

No. 3
Entry from Alexandria: a relaxed CsNbC2 crystal (PBE).

Excess energy over the best structure of this formula in the dataset   1973 meV/atom
M_tot   0.00 μB/f.u.
Calculated volume   61 Å³/cell
Space group   Fm-3m (225)

Structure (POSCAR):
```
CsNbC2
1.0
0.000 3.126 3.126
3.126 0.000 3.126
3.126 3.126 0.000
C Cs Nb
2 1 1
direct
0.750 0.750 0.750
0.250 0.250 0.250
0.500 0.500 0.500
0.000 0.000 0.000
```